Here is a relaxed structure of AcTbHg6 from Alexandria via LeMat-Bulk. Energies are from PBE.

Summary:
The space group is Amm2 (38). The formation enthalpy at 0 K is -0.36 eV/atom.

Lattice parameters (Å, degrees): 5.0899 6.9074 6.9074 60.60 90.00 90.00
Fractional coordinates of all 8 atoms:
Ac: 0.0000 0.0000 0.0000
Tb: 0.5000 0.6809 0.6809
Hg: 0.0000 0.0059 0.4998
Hg: 0.0000 0.4998 0.0059
Hg: 0.0000 0.5158 0.5158
Hg: 0.5000 0.1802 0.1802
Hg: 0.5000 0.1929 0.6452
Hg: 0.5000 0.6452 0.1929

Here is a relaxed structure of YZn2Ni from Alexandria via LeMat-Bulk. Energies are from PBE.

Summary:
The space group is I-4m2 (119). The formation enthalpy at 0 K is -0.24 eV/atom.

Lattice parameters (Å, degrees): 4.5912 4.5912 4.5912 120.11 120.11 89.81
Fractional coordinates of all 4 atoms:
Y: 0.0000 0.0000 0.0000
Zn: 0.2500 0.7500 0.5000
Zn: 0.5000 0.5000 0.0000
Ni: 0.7500 0.2500 0.5000

Here is a relaxed structure of ErTm2Th from Alexandria via LeMat-Bulk. Energies are from PBE.

Summary:
The space group is P4/mmm (123). The polymorph energy (0 for the lowest one) is 11 meV/atom. The formation enthalpy at 0 K is 0.04 eV/atom.

Lattice parameters (Å, degrees): 4.9821 4.9821 4.9550 90.00 90.00 90.00
Fractional coordinates of all 4 atoms:
Er: 0.0000 0.0000 0.0000
Tm: 0.0000 0.5000 0.5000
Tm: 0.5000 0.0000 0.5000
Th: 0.5000 0.5000 0.0000

Here is a relaxed structure of Cu2ReSb from Alexandria via LeMat-Bulk. Energies are from PBE.

Summary:
The space group is F-43m (216). The value obtained for the formation energy (no corrections) is 0.490 eV per atom.

Lattice parameters (Å, degrees): 4.4310 4.4310 4.4310 60.00 60.00 60.00
Fractional coordinates of all 4 atoms:
Cu: 0.0000 0.0000 0.0000
Cu: 0.2500 0.2500 0.2500
Re: 0.7500 0.7500 0.7500
Sb: 0.5000 0.5000 0.5000

Here is a relaxed structure of K3AgO8 from Alexandria via LeMat-Bulk. Energies are from PBE.

Summary:
The space group is I-42m (121). The value obtained for the formation energy (no corrections) is -0.572 eV per atom.

Lattice parameters (Å, degrees): 6.6627 6.6627 6.6627 112.57 112.57 103.43
Fractional coordinates of all 12 atoms:
K: 0.0000 0.0000 0.0000
K: 0.2500 0.7500 0.5000
K: 0.7500 0.2500 0.5000
Ag: 0.5000 0.5000 0.0000
O: 0.1060 0.6449 0.0000
O: 0.1563 0.4582 0.0000
O: 0.3551 0.3551 0.4612
O: 0.4582 0.1563 0.0000
O: 0.5418 0.5418 0.6981
O: 0.6449 0.1060 0.0000
O: 0.8437 0.8437 0.3019
O: 0.8940 0.8940 0.5388

Here is a relaxed structure of Eu2Mg from Alexandria via LeMat-Bulk. Energies are from PBE.

Summary:
The space group is Fd-3m (227). The formation enthalpy at 0 K is 0.27 eV/atom.

Lattice parameters (Å, degrees): 6.7846 6.7846 6.7846 60.00 60.00 60.00
Fractional coordinates of all 6 atoms:
Eu: 0.0000 0.0000 0.0000
Eu: 0.0000 0.0000 0.5000
Eu: 0.0000 0.5000 0.0000
Eu: 0.5000 0.0000 0.0000
Mg: 0.3750 0.3750 0.3750
Mg: 0.6250 0.6250 0.6250

Here is a relaxed structure of LaTiAl2 from Alexandria via LeMat-Bulk. Energies are from PBE.

Summary:
The space group is I-42d (122). The polymorph energy (0 for the lowest one) is 547 meV/atom. The formation enthalpy at 0 K is 0.28 eV/atom.

Lattice parameters (Å, degrees): 9.9566 9.9566 9.9566 152.48 152.48 39.31
Fractional coordinates of all 8 atoms:
La: 0.0000 0.0000 0.0000
La: 0.7500 0.2500 0.5000
Ti: 0.2500 0.7500 0.5000
Ti: 0.5000 0.5000 0.0000
Al: 0.2678 0.6250 0.1428
Al: 0.3750 0.5178 0.6428
Al: 0.4822 0.1250 0.8572
Al: 0.8750 0.7322 0.3572

Here is a relaxed structure of BaZr2AlW from Alexandria via LeMat-Bulk. Energies are from PBE.

Summary:
The space group is P4/mmm (123). The formation enthalpy at 0 K is 1.04 eV/atom.

Lattice parameters (Å, degrees): 5.2683 5.2683 4.8243 90.00 90.00 90.00
Fractional coordinates of all 5 atoms:
Ba: 0.0000 0.0000 0.0000
Zr: 0.0000 0.5000 0.5000
Zr: 0.5000 0.0000 0.5000
Al: 0.5000 0.5000 0.5000
W: 0.5000 0.5000 0.0000

Here is a relaxed structure of Pm2TiGe from Alexandria via LeMat-Bulk. Energies are from PBE.

Summary:
The space group is P4/mmm (123). The formation enthalpy at 0 K is -0.18 eV/atom.

Lattice parameters (Å, degrees): 4.6571 4.6571 4.3608 90.00 90.00 90.00
Fractional coordinates of all 4 atoms:
Pm: 0.0000 0.5000 0.0000
Pm: 0.5000 0.0000 0.0000
Ti: 0.0000 0.0000 0.5000
Ge: 0.5000 0.5000 0.5000

Here is a relaxed structure of ScWIN2 from Alexandria via LeMat-Bulk. Energies are from PBE.

Summary:
The space group is P4/mmm (123). The polymorph energy (0 for the lowest one) is 1139 meV/atom. The value obtained for the formation energy (no corrections) is 1.488 eV per atom.

Lattice parameters (Å, degrees): 4.2204 4.2204 5.5843 90.00 90.00 90.00
Fractional coordinates of all 5 atoms:
Sc: 0.0000 0.0000 0.0000
W: 0.5000 0.5000 0.5000
I: 0.0000 0.0000 0.5000
N: 0.0000 0.5000 0.0000
N: 0.5000 0.0000 0.0000

Here is a relaxed structure of TmSc2Fe from Alexandria via LeMat-Bulk. Energies are from PBE.

Summary:
The space group is Cmcm (63). The polymorph energy (0 for the lowest one) is 6 meV/atom. The formation enthalpy at 0 K is -0.07 eV/atom.

Lattice parameters (Å, degrees): 5.9352 5.9352 8.4738 90.00 90.00 144.69
Fractional coordinates of all 8 atoms:
Tm: 0.0735 0.9265 0.7500
Tm: 0.9265 0.0735 0.2500
Sc: 0.3529 0.6471 0.5677
Sc: 0.3529 0.6471 0.9323
Sc: 0.6471 0.3529 0.0677
Sc: 0.6471 0.3529 0.4323
Fe: 0.2518 0.7482 0.2500
Fe: 0.7482 0.2518 0.7500

Here is a relaxed structure of CsYZnSe3 from Alexandria via LeMat-Bulk. Energies are from PBE.

Summary:
The space group is P2_1/m (11). The value obtained for the formation energy (no corrections) is -1.431 eV per atom.

Lattice parameters (Å, degrees): 4.1837 11.0425 8.3999 90.00 104.41 90.00
Fractional coordinates of all 12 atoms:
Cs: 0.2448 0.2500 0.4881
Cs: 0.7552 0.7500 0.5119
Y: 0.5000 0.0000 0.0000
Y: 0.5000 0.5000 0.0000
Zn: 0.0370 0.7500 0.0739
Zn: 0.9630 0.2500 0.9261
Se: 0.1154 0.5600 0.2311
Se: 0.1154 0.9400 0.2311
Se: 0.4439 0.7500 0.8879
Se: 0.5561 0.2500 0.1121
Se: 0.8846 0.0600 0.7689
Se: 0.8846 0.4400 0.7689

Here is a relaxed structure of Na3Sc2TiSe6 from Alexandria via LeMat-Bulk. Energies are from PBE.

Summary:
The space group is C2/m (12). The value obtained for the formation energy (no corrections) is -1.429 eV per atom.

Lattice parameters (Å, degrees): 6.7275 6.7275 7.3339 98.80 98.80 120.01
Fractional coordinates of all 12 atoms:
Na: 0.0000 0.0000 0.0000
Na: 0.3313 0.6687 0.0000
Na: 0.6687 0.3313 0.0000
Sc: 0.1665 0.8335 0.5000
Sc: 0.8335 0.1665 0.5000
Ti: 0.5000 0.5000 0.5000
Se: 0.1028 0.4278 0.2834
Se: 0.2476 0.2476 0.7165
Se: 0.4278 0.1028 0.2834
Se: 0.5722 0.8972 0.7166
Se: 0.7524 0.7524 0.2835
Se: 0.8972 0.5722 0.7166

| no. | calculated volume (Å³/atom) |
| --- | --- |
| 1 | 26.45 |
| 2 | 17.08 |
| 3 | 30.75 |
| 4 | 15.38 |
| 5 | 18.82 |
| 6 | 36.81 |
| 7 | 26.30 |
| 8 | 26.78 |
| 9 | 23.64 |
| 10 | 19.89 |
| 11 | 21.57 |
| 12 | 31.32 |
| 13 | 22.80 |